# Zn4Cr

An optimized crystal structure of Zn4Cr (PBE, the Alexandria database).

## Properties
- ΔH_f (0 K): 47 kJ/mol of formula units
- Magnetization: 3.66 μB/f.u.
- E above lowest polymorph: 0.000 eV/atom
- Symmetry: I4/m, No. 87

abc: 3.9832 4.7481 4.7481
angles: 100.13 114.80 65.20
With the nearest neighbours (Å) after each atom.
Sites, in units of the cell vectors:
Cr  0.0000  0.0000  0.0000  12 Zn 2.75-2.77
Zn  0.7969  0.7967  0.3906  9 Zn 2.68-2.82, 3 Cr 2.75-2.77
Zn  0.2031  0.2033  0.6094  9 Zn 2.68-2.82, 3 Cr 2.75-2.77
Zn  0.5936  0.6094  0.7967  9 Zn 2.68-2.82, 3 Cr 2.75-2.77
Zn  0.4064  0.3906  0.2033  9 Zn 2.68-2.82, 3 Cr 2.75-2.77

=====

# SrMgTa2

An optimized crystal structure of SrMgTa2 (PBE, the Alexandria database).

## Properties
- ΔH_f (0 K): 280 kJ/mol of formula units
- Magnetization: 0.00 μB/f.u.
- Symmetry: Immm, No. 71

abc: 6.4282 6.4282 6.4282
angles: 152.20 132.83 55.63
With the nearest neighbours (Å) after each atom.
Sites, in units of the cell vectors:
Mg  0.7500  0.2500  0.5000  4 Sr 3.00, 4 Ta 3.02, 2 Mg 3.09
Sr  0.2500  0.7500  0.5000  4 Mg 3.00, 2 Sr 3.09
Ta  0.9787  0.9787  0.0000  2 Mg 3.02, 6 Ta 3.04-3.09
Ta  0.5213  0.5213  0.0000  2 Mg 3.02, 6 Ta 3.04-3.09

=====

Please write out number 1 again, unchanged.
# Zn4Cr

An optimized crystal structure of Zn4Cr (PBE, the Alexandria database).

## Properties
- ΔH_f (0 K): 47 kJ/mol of formula units
- Magnetization: 3.66 μB/f.u.
- E above lowest polymorph: 0.000 eV/atom
- Symmetry: I4/m, No. 87

abc: 3.9832 4.7481 4.7481
angles: 100.13 114.80 65.20
With the nearest neighbours (Å) after each atom.
Sites, in units of the cell vectors:
Cr  0.0000  0.0000  0.0000  12 Zn 2.75-2.77
Zn  0.7969  0.7967  0.3906  9 Zn 2.68-2.82, 3 Cr 2.75-2.77
Zn  0.2031  0.2033  0.6094  9 Zn 2.68-2.82, 3 Cr 2.75-2.77
Zn  0.5936  0.6094  0.7967  9 Zn 2.68-2.82, 3 Cr 2.75-2.77
Zn  0.4064  0.3906  0.2033  9 Zn 2.68-2.82, 3 Cr 2.75-2.77